Record 1
PBE TaHgSe2, relaxed; raw total energy = -4.656 eV per atom; magnetic moment = 0.00 μB/f.u.; space group = P4mm (99); volume = 85.52 Å³/cell; uncorrected formation energy = 2.88 kcal/mol of atoms
1.0
-2.0426 -0.4379 2.7343
2.2076 -2.3088 1.2794
3.5087 5.2759 3.4663
Se Ta Hg
2 1 1
direct
0.0000 0.0000 0.0549 Se
0.5000 0.5000 0.2919 Se
0.0000 0.0000 0.4351 Ta
0.5000 0.5000 0.7181 Hg

Record 2
PBE TaHgSe3, relaxed; energy above the lowest structure with this stoichiometry = 49.1 meV/atom; raw total energy = -4.900 eV per atom; magnetic moment = 0.00 μB/f.u.; space group = P2_1/m (11); volume = 280.71 Å³/cell; uncorrected formation energy = -8.73 kcal/mol of atoms
1.0
6.1157 0.0004 0.0013
-0.0003 7.2264 -1.8512
0.0015 -4.9914 7.6304
Ta Hg Se
2 2 6
direct
0.5000 0.0000 0.0000 Ta
0.0000 0.0000 0.0000 Ta
0.7501 0.8402 0.4302 Hg
0.2499 0.1598 0.5698 Hg
0.7501 0.5852 0.7574 Se
0.7500 0.2349 0.9522 Se
0.2499 0.4148 0.2426 Se
0.2502 0.8523 0.6961 Se
0.2500 0.7651 0.0478 Se
0.7499 0.1477 0.3040 Se

Record 3
PBE TaHg2Se, relaxed; raw total energy = -3.768 eV per atom; magnetic moment = 0.00 μB/f.u.; space group = Amm2 (38); volume = 88.39 Å³/cell; uncorrected formation energy = 5.02 kcal/mol of atoms
1.0
4.3263 0.0000 0.0000
0.0000 3.5341 0.2785
0.0000 1.3147 5.8848
Hg Ta Se
2 1 1
direct
0.5000 0.3087 0.2571 Hg
0.0000 0.9525 0.9701 Hg
0.5000 0.5633 0.7485 Ta
0.0000 0.6754 0.5243 Se

> Look up the magnetic moment of the third one.

0.00 μB/f.u.

> Which of these has the highest volume?

TaHgSe3

> Among the records above, which one has the lowest volume?

TaHgSe2